No. 1
First-principles (PBE) data for AlTe2PdN after structural relaxation, as listed in the Alexandria database.

Calculated values
The total magnetic moment comes out at 0.00 μB per atom. As for the uncorrected formation energy: 0.31 eV per atom. For the polymorph energy (0 for the lowest one), the calculation gives 0.00 eV per formula unit.

Lattice parameters (Å, degrees): 5.570 5.570 3.394 90.00 90.00 90.00
Atoms (fractional coordinates):
Al 0.000 0.000 0.000
Te 0.000 0.500 0.000
Pd 0.500 0.500 0.500
N 0.000 0.000 0.500
Te 0.500 0.000 0.000

***

No. 2
First-principles (PBE) data for AlTe2PdN after structural relaxation, as listed in the Alexandria database.

Calculated values
The total magnetic moment comes out at 0.00 μB per atom. As for the uncorrected formation energy: 0.63 eV per atom. For the polymorph energy (0 for the lowest one), the calculation gives 1.59 eV per formula unit.

Lattice parameters (Å, degrees): 5.584 5.584 3.698 90.00 90.00 90.00
Atoms (fractional coordinates):
N 0.000 0.000 0.500
Te 0.500 0.000 0.000
Te 0.000 0.500 0.000
Al 0.500 0.500 0.500
Pd 0.000 0.000 0.000